This record from Alexandria describes a geometry-optimized Lu2ScCu structure. The functional is PBE.

a = 3.3596 Å, b = 3.3596 Å, c = 8.3054 Å
α = 90.00°, β = 90.00°, γ = 90.00°
Last column: nearest neighbours and their distance in Å.
Sites, in units of the cell vectors:
Sc (0.5000, 0.5000, 0.5000)  4 Sc 3.36, 8 Lu 3.40
Lu (0.0000, 0.0000, 0.7936)  4 Cu 2.93
Lu (0.0000, 0.0000, 0.2064)  4 Cu 2.93
Cu (0.5000, 0.5000, 0.0000)  8 Lu 2.93

Magnetization = 0.0 μB per cell
E above lowest polymorph = 0.000 eV per atom
DFT formation energy = -110 meV per atom